DFT (GGA-PBE) results for a relaxed structure of KLi2Cd2.

The structure in POSCAR format:
```
KLi2Cd2
1.0
8.773 0.000 0.000
0.000 8.773 0.000
0.000 0.000 3.201
K Li Cd
2 4 4
direct
0.000 0.000 0.000 K
0.500 0.500 0.000 K
0.159 0.341 0.000 Li
0.341 0.841 0.000 Li
0.659 0.159 0.000 Li
0.841 0.659 0.000 Li
0.129 0.629 0.500 Cd
0.371 0.129 0.500 Cd
0.629 0.871 0.500 Cd
0.871 0.371 0.500 Cd
```

## Properties
electronic total energy: -14.465 eV/cell